FeHgF4 | Alexandria | PBE with a Hubbard U | relaxed; energy above the most stable polymorph in this dataset = 78 meV per atom; total energy = -4.11 eV per atom; total magnetic moment = 0.8092 μB/atom; Fermi-level density of states = 0.213 states/eV per atom
1.0
4.904 0.000 0.000
0.000 3.063 0.000
-1.084 0.000 6.869
Fe Hg F
1 1 4
Cartesian
0.000 0.000 0.000
-0.542 1.532 3.435
0.760 0.000 1.769
0.065 1.532 6.290
3.755 1.532 0.580
3.061 0.000 5.100